Record 1
DFT (GGA-PBE) results for an optimized crystal structure of BaErAgSe3.

```
BaErAgSe3
1.0
9.142 -2.104 0.000
9.142 2.104 0.000
-1.853 0.000 8.635
Ag Ba Er Se
2 2 2 6
Cartesian
8.108 0.000 2.509
8.323 0.000 6.126
2.312 0.000 0.643
14.119 0.000 7.992
14.505 0.000 3.592
1.926 0.000 5.043
9.142 0.000 0.000
5.508 0.000 1.654
11.651 0.000 3.198
-0.927 0.000 4.318
4.781 0.000 5.438
10.923 0.000 6.981
```

Properties
DFT total energy	-0.3533	Ry per atom
density	6.49	g/cm³
space group	C2/m (12)


Record 2
DFT (GGA-PBE) results for an optimized crystal structure of CdInBr3.

```
CdInBr3
1.0
9.536 0.000 0.000
0.000 4.161 0.000
0.000 0.000 15.562
Br Cd In
12 4 4
Cartesian
1.563 1.040 0.107
4.561 3.120 1.630
7.537 1.040 3.337
2.769 1.040 4.444
9.329 3.120 6.151
6.331 1.040 7.674
3.205 3.120 7.888
0.207 1.040 9.411
6.767 3.120 11.118
1.999 3.120 12.226
4.975 1.040 13.933
7.973 3.120 15.455
6.370 1.040 0.872
1.602 1.040 6.910
7.934 3.120 8.653
3.166 3.120 14.691
0.540 3.120 2.766
5.308 3.120 5.015
4.228 1.040 10.547
8.996 1.040 12.796
```

Properties
DFT total energy	-0.1841	Ry per atom
density	5.02	g/cm³
space group	Pnma (62)


Record 3
DFT (GGA-PBE) results for an optimized crystal structure of AcPuAs.

```
AcPuAs
1.0
4.899 -1.749 0.787
0.831 -5.063 1.164
2.259 -3.175 -3.535
Ac As Pu
1 1 1
Cartesian
0.000 0.000 0.000
1.997 -2.497 -0.396
5.992 -7.491 -1.188
```

Properties
DFT total energy	-0.5485	Ry per atom
density	8.80	g/cm³
space group	F-43m (216)


Record 4
DFT (GGA-PBE) results for an optimized crystal structure of TaB4W.

```
TaB4W
1.0
-2.255 2.092 -0.064
-0.020 -2.345 -1.992
-3.480 -3.619 4.295
B Ta W
4 1 1
Cartesian
-2.385 -0.296 0.372
-1.639 -1.776 -0.270
-4.116 -2.097 2.509
-3.370 -3.576 1.866
0.000 0.000 0.000
-1.740 -1.810 2.148
```

Properties
DFT total energy	-0.6576	Ry per atom
density	12.50	g/cm³
space group	P6/mmm (191)


Record 5
DFT (GGA-PBE) results for an optimized crystal structure of As2Pd9.

```
As2Pd9
1.0
2.827 0.000 0.000
-1.413 2.448 0.000
0.000 0.000 31.683
As Pd
2 9
Cartesian
1.413 0.816 4.791
0.000 1.632 26.892
0.000 1.632 6.792
0.000 0.000 9.083
1.413 0.816 11.344
0.000 1.632 13.592
0.000 0.000 15.841
1.413 0.816 18.090
0.000 1.632 20.339
0.000 0.000 22.600
1.413 0.816 24.891
```

Properties
DFT total energy	-0.3749	Ry per atom
density	8.39	g/cm³
space group	P-3m1 (164)


Record 6
DFT (GGA-PBE) results for an optimized crystal structure of Ge64Pt.

```
Ge64Pt
1.0
-2.558 -3.944 10.519
7.458 7.472 4.615
-8.401 7.833 0.894
Ge Pt
64 1
Cartesian
1.589 1.462 11.182
4.110 4.335 9.696
-0.864 -0.300 3.653
1.674 2.594 2.157
0.363 0.616 7.429
2.867 3.470 5.953
-2.113 -2.150 8.797
5.254 6.247 4.454
-0.644 2.090 2.948
1.805 3.855 10.517
0.560 3.007 6.766
-0.703 1.055 12.074
4.299 6.755 9.126
-1.941 0.254 8.297
3.003 5.889 5.383
2.909 4.848 14.311
-1.084 3.516 4.960
0.124 4.427 8.770
1.324 5.294 12.482
-3.601 0.707 6.498
1.406 6.414 3.547
-2.345 2.685 1.214
-2.386 1.617 10.323
2.623 7.325 7.371
-3.380 3.097 5.841
-0.891 5.933 4.374
-0.944 4.857 13.411
1.560 7.711 11.935
-2.173 4.007 9.650
0.317 6.845 8.182
-4.694 1.146 11.138
2.828 9.719 6.704
-6.330 1.643 9.324
1.192 10.216 4.890
-3.819 4.517 7.845
-1.329 7.355 6.377
-5.062 3.651 4.092
-2.558 6.504 2.617
-2.611 5.428 11.653
-0.122 8.264 10.186
-6.125 4.036 8.657
-1.117 9.744 5.704
-1.157 8.676 14.814
-4.908 4.948 12.481
0.099 10.655 9.529
-4.826 6.068 3.545
-3.626 6.934 7.257
-2.418 7.845 11.067
-6.411 6.513 1.717
-6.505 5.472 10.645
-1.561 11.108 7.730
-7.801 4.607 6.901
-2.799 10.307 3.953
-4.063 8.354 9.261
-5.307 7.506 5.510
-2.858 9.272 13.079
-8.756 5.114 11.573
-1.389 13.512 7.230
-6.369 7.891 10.075
-3.865 10.745 8.599
-5.176 8.768 13.870
-2.638 11.661 12.374
-7.612 7.026 6.331
-5.091 9.899 4.845
0.000 0.000 0.000
```

Properties
DFT total energy	-0.3399	Ry per atom
density	5.26	g/cm³
space group	R-3m (166)


- Which formula does entry 2 have?
  CdInBr3


- Which of these has the lowest DFT total energy?
  TaB4W